<A>
A relaxed structure of YAl2Tl2. Source: Alexandria, functional PBE.

Properties
V = 241.2 Å³ per cell
Mass density = 7.6 g/cm3

Unit cell a=8.0135 b=8.0135 c=3.7556 alpha=90.00 beta=90.00 gamma=90.00
With the nearest neighbours (Å) after each atom.
Element x y z (fractional)
Al 0.3801 0.8801 0.0000  1 Al 2.72, 2 Tl 2.97
Tl 0.3229 0.1771 0.5000  6 Al 2.97-3.07
Al 0.8801 0.6199 0.0000  1 Al 2.72, 2 Tl 2.97
Y 0.5000 0.5000 0.0000  4 Al 3.19, 8 Tl 3.50
Al 0.6199 0.1199 0.0000  1 Al 2.72, 2 Tl 2.97
Y 0.0000 0.0000 0.0000  4 Al 3.19, 8 Tl 3.50
Tl 0.6771 0.8229 0.5000  6 Al 2.97-3.07
Al 0.1199 0.3801 0.0000  1 Al 2.72, 2 Tl 2.97
Tl 0.8229 0.3229 0.5000  6 Al 2.97-3.07
Tl 0.1771 0.6771 0.5000  6 Al 2.97-3.07


<B>
A relaxed structure of YAl2Tl2. Source: Alexandria, functional PBE.

Properties
V = 123.4 Å³ per cell
Mass density = 7.4 g/cm3

Unit cell a=4.0793 b=4.0793 c=7.9554 alpha=75.14 beta=75.14 gamma=90.00
With the nearest neighbours (Å) after each atom.
Element x y z (fractional)
Y 0.0000 0.0000 0.0000  8 Tl 3.31
Al 0.7500 0.2500 0.5000  4 Al 2.88, 4 Tl 2.91
Al 0.2500 0.7500 0.5000  4 Al 2.88, 4 Tl 2.91
Tl 0.3899 0.3899 0.2202  4 Al 2.91
Tl 0.6101 0.6101 0.7798  4 Al 2.91


<C>
A relaxed structure of YAl2Tl2. Source: Alexandria, functional PBE.

Properties
V = 244.1 Å³ per cell
Mass density = 7.5 g/cm3

Unit cell a=8.2909 b=8.2909 c=3.5507 alpha=90.00 beta=90.00 gamma=90.00
With the nearest neighbours (Å) after each atom.
Element x y z (fractional)
Al 0.8377 0.3377 0.5000  6 Tl 2.94-3.06
Tl 0.6374 0.1374 0.0000  6 Al 2.94-3.06, 2 Y 3.21, 1 Tl 3.22
Tl 0.8626 0.6374 0.0000  6 Al 2.94-3.06, 2 Y 3.21, 1 Tl 3.22
Tl 0.1374 0.3626 0.0000  6 Al 2.94-3.06, 2 Y 3.21, 1 Tl 3.22
Y 0.5000 0.5000 0.0000  4 Tl 3.21, 2 Y 3.55, 8 Al 3.58
Tl 0.3626 0.8626 0.0000  6 Al 2.94-3.06, 2 Y 3.21, 1 Tl 3.22
Y 0.0000 0.0000 0.0000  4 Tl 3.21, 2 Y 3.55, 8 Al 3.58
Al 0.6623 0.8377 0.5000  6 Tl 2.94-3.06
Al 0.3377 0.1623 0.5000  6 Tl 2.94-3.06
Al 0.1623 0.6623 0.5000  6 Tl 2.94-3.06


<D>
A relaxed structure of YAl2Tl2. Source: Alexandria, functional PBE.

Properties
V = 125.3 Å³ per cell
Mass density = 7.3 g/cm3

Unit cell a=4.4614 b=4.4614 c=7.0422 alpha=71.53 beta=71.53 gamma=90.00
With the nearest neighbours (Å) after each atom.
Element x y z (fractional)
Al 0.4023 0.4023 0.1953  1 Al 2.46
Y 0.0000 0.0000 0.0000  8 Al 3.39
Tl 0.2500 0.7500 0.5000  4 Al 2.94, 4 Tl 3.15
Tl 0.7500 0.2500 0.5000  4 Al 2.94, 4 Tl 3.15
Al 0.5977 0.5977 0.8047  1 Al 2.46


Which is most stable? The ranking, best first, is <A>, <D>, <B>, <C>.


<A>
A relaxed structure of Y2AlTl2. Source: Alexandria, functional PBE.

Properties
V = 283.8 Å³ per cell
Mass density = 7.2 g/cm3

Unit cell a=8.0367 b=8.0367 c=4.3934 alpha=90.00 beta=90.00 gamma=90.00
With the nearest neighbours (Å) after each atom.
Element x y z (fractional)
Tl 0.6466 0.8534 0.5000  6 Y 3.11-3.30, 1 Tl 3.33
Tl 0.3534 0.1466 0.5000  6 Y 3.11-3.30, 1 Tl 3.33
Al 0.5000 0.5000 0.0000  4 Y 3.02
Y 0.1599 0.3401 0.0000  2 Al 3.02, 6 Tl 3.11-3.30
Tl 0.8534 0.3534 0.5000  6 Y 3.11-3.30, 1 Tl 3.33
Y 0.3401 0.8401 0.0000  2 Al 3.02, 6 Tl 3.11-3.30
Y 0.6599 0.1599 0.0000  2 Al 3.02, 6 Tl 3.11-3.30
Tl 0.1466 0.6466 0.5000  6 Y 3.11-3.30, 1 Tl 3.33
Y 0.8401 0.6599 0.0000  2 Al 3.02, 6 Tl 3.11-3.30
Al 0.0000 0.0000 0.0000  4 Y 3.02


<B>
A relaxed structure of Y2AlTl2. Source: Alexandria, functional PBE.

Properties
V = 261.5 Å³ per cell
Mass density = 7.8 g/cm3

Unit cell a=7.4613 b=7.4613 c=4.6980 alpha=90.00 beta=90.00 gamma=90.00
With the nearest neighbours (Å) after each atom.
Element x y z (fractional)
Al 0.0000 0.0000 0.0000  4 Tl 2.88
Y 0.8309 0.3309 0.5000  6 Tl 3.09-3.30
Y 0.6691 0.8309 0.5000  6 Tl 3.09-3.30
Y 0.3309 0.1691 0.5000  6 Tl 3.09-3.30
Tl 0.8598 0.6402 0.0000  2 Al 2.88, 1 Tl 2.96, 2 Y 3.09
Tl 0.3598 0.8598 0.0000  2 Al 2.88, 1 Tl 2.96, 2 Y 3.09
Tl 0.6402 0.1402 0.0000  2 Al 2.88, 1 Tl 2.96, 2 Y 3.09
Tl 0.1402 0.3598 0.0000  2 Al 2.88, 1 Tl 2.96, 2 Y 3.09
Y 0.1691 0.6691 0.5000  6 Tl 3.09-3.30
Al 0.5000 0.5000 0.0000  4 Tl 2.88


Which is most stable? The ranking, best first, is <B>, <A>.


<A>
A relaxed structure of Y2Al2Tl. Source: Alexandria, functional PBE.

Properties
V = 241.5 Å³ per cell
Mass density = 6.0 g/cm3

Unit cell a=7.2804 b=7.2804 c=4.5570 alpha=90.00 beta=90.00 gamma=90.00
With the nearest neighbours (Å) after each atom.
Element x y z (fractional)
Al 0.8729 0.6271 0.0000  1 Al 2.62, 2 Tl 2.87
Y 0.8307 0.3307 0.5000  6 Al 3.10-3.15
Al 0.1271 0.3729 0.0000  1 Al 2.62, 2 Tl 2.87
Y 0.6693 0.8307 0.5000  6 Al 3.10-3.15
Y 0.3307 0.1693 0.5000  6 Al 3.10-3.15
Tl 0.0000 0.0000 0.0000  4 Al 2.87
Al 0.3729 0.8729 0.0000  1 Al 2.62, 2 Tl 2.87
Y 0.1693 0.6693 0.5000  6 Al 3.10-3.15
Tl 0.5000 0.5000 0.0000  4 Al 2.87
Al 0.6271 0.1271 0.0000  1 Al 2.62, 2 Tl 2.87


<B>
A relaxed structure of Y2Al2Tl. Source: Alexandria, functional PBE.

Properties
V = 262.3 Å³ per cell
Mass density = 5.5 g/cm3

Unit cell a=8.6056 b=8.6056 c=3.5422 alpha=90.00 beta=90.00 gamma=90.00
With the nearest neighbours (Å) after each atom.
Element x y z (fractional)
Al 0.3888 0.1112 0.5000  1 Al 2.71
Al 0.6112 0.8888 0.5000  1 Al 2.71
Tl 0.0000 0.0000 0.0000  4 Y 3.16
Al 0.1112 0.6112 0.5000  1 Al 2.71
Y 0.6808 0.1808 0.0000  6 Al 3.09-3.13, 2 Tl 3.16
Tl 0.5000 0.5000 0.0000  4 Y 3.16
Al 0.8888 0.3888 0.5000  1 Al 2.71
Y 0.3192 0.8192 0.0000  6 Al 3.09-3.13, 2 Tl 3.16
Y 0.8192 0.6808 0.0000  6 Al 3.09-3.13, 2 Tl 3.16
Y 0.1808 0.3192 0.0000  6 Al 3.09-3.13, 2 Tl 3.16


Which is most stable? The ranking, best first, is <A>, <B>.


<A>
A relaxed structure of Y3AlTl2. Source: Alexandria, functional PBE.

Properties
V = 314.8 Å³ per cell
Mass density = 7.4 g/cm3

Unit cell a=3.6899 b=5.3405 c=15.9773 alpha=90.00 beta=90.00 gamma=90.00
With the nearest neighbours (Å) after each atom.
Element x y z (fractional)
Y 0.4999 0.5000 0.3406  2 Al 3.14-3.15, 6 Tl 3.25-3.29
Y 0.4992 0.0000 0.5000  4 Al 3.24-3.25, 4 Tl 3.28
Y 0.5008 0.5000 0.0000  4 Al 3.24-3.25, 4 Tl 3.28
Y 0.5001 0.0000 0.8406  2 Al 3.14-3.15, 6 Tl 3.25-3.29
Y 0.5001 0.0000 0.1594  2 Al 3.14-3.15, 6 Tl 3.25-3.29
Tl 0.0000 0.0000 0.6698  8 Y 3.25-3.29
Tl 0.0000 0.0000 0.3302  8 Y 3.25-3.29
Tl 0.0000 0.5000 0.1698  8 Y 3.25-3.29
Al 0.0004 0.0000 0.0000  8 Y 3.14-3.25
Al 0.9996 0.5000 0.5000  8 Y 3.14-3.25
Tl 0.0000 0.5000 0.8302  8 Y 3.25-3.29
Y 0.4999 0.5000 0.6594  2 Al 3.14-3.15, 6 Tl 3.25-3.29


<B>
A relaxed structure of Y3AlTl2. Source: Alexandria, functional PBE.

Properties
V = 157.0 Å³ per cell
Mass density = 7.4 g/cm3

Unit cell a=3.6845 b=3.6845 c=11.5636 alpha=90.00 beta=90.00 gamma=90.00
With the nearest neighbours (Å) after each atom.
Element x y z (fractional)
Y 0.0000 0.0000 0.6543  4 Al 3.16, 4 Tl 3.29
Al 0.5000 0.5000 0.5000  8 Y 3.16
Y 0.0000 0.0000 0.3457  4 Al 3.16, 4 Tl 3.29
Tl 0.5000 0.5000 0.8286  8 Y 3.27-3.29
Y 0.0000 0.0000 0.0000  8 Tl 3.27
Tl 0.5000 0.5000 0.1714  8 Y 3.27-3.29


Which is most stable? The ranking, best first, is <B>, <A>.